# 1
First-principles (GGA-PBE) data for a relaxed CrAs2Se crystal, as listed in Alexandria.

D(E_F): 2.84 states/eV/cell
E: -5.45 eV/atom
Space-group type: P4/mmm

Unit cell a=2.9879 b=2.9879 c=8.2806 alpha=90.00 beta=90.00 gamma=90.00
With the nearest neighbours (Å) after each atom.
Positions (direct):
Cr  0.0000  0.0000  0.0000  8 As 2.56
As  0.5000  0.5000  0.1749  4 Cr 2.56
As  0.5000  0.5000  0.8251  4 Cr 2.56
Se  0.0000  0.0000  0.5000  4 Se 2.99

---

# 2
First-principles (GGA-PBE) data for a relaxed Dy2Y9Th crystal, as listed in Alexandria.

D(E_F): 19.14 states/eV/cell
E: -6.20 eV/atom
Space-group type: P4/mmm
E_form: 0.03 eV per atom

Unit cell a=5.0550 b=5.0550 c=15.1301 alpha=90.00 beta=90.00 gamma=90.00
With the nearest neighbours (Å) after each atom.
Positions (direct):
Dy  0.0000  0.0000  0.1668  12 Y 3.57-3.59
Dy  0.0000  0.0000  0.8332  12 Y 3.57-3.59
Y  0.0000  0.5000  0.0000  8 Y 3.55-3.57, 4 Dy 3.57
Y  0.0000  0.5000  0.3349  2 Th 3.55, 8 Y 3.55-3.60, 2 Dy 3.59
Y  0.0000  0.5000  0.6651  2 Th 3.55, 8 Y 3.55-3.60, 2 Dy 3.59
Y  0.5000  0.0000  0.0000  8 Y 3.55-3.57, 4 Dy 3.57
Y  0.5000  0.0000  0.3349  2 Th 3.55, 8 Y 3.55-3.60, 2 Dy 3.59
Y  0.5000  0.0000  0.6651  2 Th 3.55, 8 Y 3.55-3.60, 2 Dy 3.59
Y  0.5000  0.5000  0.1652  8 Y 3.55-3.60, 4 Dy 3.57
Y  0.5000  0.5000  0.5000  8 Y 3.55, 4 Th 3.57
Y  0.5000  0.5000  0.8348  8 Y 3.55-3.60, 4 Dy 3.57
Th  0.0000  0.0000  0.5000  12 Y 3.55-3.57

---

# 3
First-principles (GGA-PBE) data for a relaxed RbPdIO2 crystal, as listed in Alexandria.

D(E_F): 7.52 states/eV/cell
E: -2.68 eV/atom
Polymorph energy (0 for the lowest one): 961 meV per atom
Space-group type: P4/mmm

Unit cell a=4.3346 b=4.3346 c=7.6521 alpha=90.00 beta=90.00 gamma=90.00
With the nearest neighbours (Å) after each atom.
Positions (direct):
Rb  0.0000  0.0000  0.0000  4 O 2.17
Pd  0.5000  0.5000  0.5000  4 I 3.07
I  0.0000  0.0000  0.5000  4 Pd 3.07
O  0.0000  0.5000  0.0000  2 Rb 2.17
O  0.5000  0.0000  0.0000  2 Rb 2.17

---

# 4
First-principles (GGA-PBE) data for a relaxed PmSmPb4 crystal, as listed in Alexandria.

D(E_F): 7.71 states/eV/cell
E: -4.29 eV/atom
Space-group type: C2/c
E_form: -0.24 eV per atom

Unit cell a=8.3881 b=8.3881 c=6.7060 alpha=105.68 beta=105.68 gamma=113.23
With the nearest neighbours (Å) after each atom.
Positions (direct):
Pm  0.0847  0.9153  0.7500  8 Pb 3.27-3.66
Pm  0.9153  0.0847  0.2500  8 Pb 3.27-3.66
Sm  0.2305  0.7695  0.2500  8 Pb 3.21-3.58
Sm  0.7695  0.2305  0.7500  8 Pb 3.21-3.58
Pb  0.1467  0.5019  0.7117  4 Pb 3.02-3.36, 1 Sm 3.21, 1 Pm 3.34
Pb  0.2382  0.3575  0.1228  3 Pb 3.25-3.36, 2 Pm 3.27-3.34, 2 Sm 3.36-3.58
Pb  0.3575  0.2382  0.6228  3 Pb 3.25-3.36, 2 Pm 3.27-3.34, 2 Sm 3.36-3.58
Pb  0.4981  0.8533  0.7883  4 Pb 3.02-3.36, 1 Sm 3.21, 1 Pm 3.34
Pb  0.5019  0.1467  0.2117  4 Pb 3.02-3.36, 1 Sm 3.21, 1 Pm 3.34
Pb  0.6425  0.7618  0.3772  3 Pb 3.25-3.36, 2 Pm 3.27-3.34, 2 Sm 3.36-3.58
Pb  0.7618  0.6425  0.8772  3 Pb 3.25-3.36, 2 Pm 3.27-3.34, 2 Sm 3.36-3.58
Pb  0.8533  0.4981  0.2883  4 Pb 3.02-3.36, 1 Sm 3.21, 1 Pm 3.34